## Hf3Al3Ni2Pd (PBE)

Data for Hf3Al3Ni2Pd after structural relaxation.

POSCAR file:
```
Hf3Al3Ni2Pd
1.0
6.973 0.000 0.000
-3.486 6.039 0.000
0.000 0.000 3.487
Hf Al Ni Pd
3 3 2 1
Direct
0.000 0.410 0.000
0.410 0.000 0.000
0.590 0.590 0.000
0.000 0.735 0.500
0.265 0.265 0.500
0.735 0.000 0.500
0.333 0.667 0.500
0.667 0.333 0.500
0.000 0.000 0.000
```

Values from the calculation:
The electronic total energy comes out at -7.047 eV/atom. The space-group type is P-62m. The density is 9.50 g/cm3. The value obtained for the total moment is 0.0 μB per cell.



## Li2In2Pt (PBE)

Data for Li2In2Pt after structural relaxation.

POSCAR file:
```
Li2In2Pt
1.0
7.950 0.000 0.000
0.000 4.578 0.000
-2.673 0.000 4.817
Li In Pt
4 4 2
Direct
0.191 0.000 0.072
0.309 0.500 0.928
0.691 0.500 0.072
0.809 0.000 0.928
0.104 0.500 0.312
0.396 0.000 0.688
0.604 0.000 0.312
0.896 0.500 0.688
0.000 0.000 0.500
0.500 0.500 0.500
```

Values from the calculation:
The electronic total energy comes out at -3.587 eV/atom. The space-group type is C2/m. The density is 8.31 g/cm3. The value obtained for the total moment is 0.0 μB per cell.



## Li2ZrB (PBE)

Data for Li2ZrB after structural relaxation.

POSCAR file:
```
Li2ZrB
1.0
5.901 0.000 0.000
0.000 5.901 0.000
0.000 0.000 5.901
Li Zr B
8 4 4
Direct
0.000 0.000 0.000
0.000 0.500 0.500
0.250 0.250 0.250
0.250 0.750 0.750
0.500 0.000 0.500
0.500 0.500 0.000
0.750 0.250 0.750
0.750 0.750 0.250
0.250 0.250 0.750
0.250 0.750 0.250
0.750 0.250 0.250
0.750 0.750 0.750
0.000 0.000 0.500
0.000 0.500 0.000
0.500 0.000 0.000
0.500 0.500 0.500
```

Values from the calculation:
The electronic total energy comes out at -4.595 eV/atom. The space-group type is F-43m. The density is 3.75 g/cm3. The value obtained for the total moment is 0.0 μB per cell.



## Nb3ClO7 (PBE)

Data for Nb3ClO7 after structural relaxation.

POSCAR file:
```
Nb3ClO7
1.0
15.660 0.000 0.000
0.000 10.986 0.000
0.000 0.000 3.863
Nb Cl O
12 4 28
Direct
0.035 0.250 0.033
0.164 0.540 0.002
0.164 0.960 0.002
0.336 0.040 0.502
0.336 0.460 0.502
0.465 0.750 0.533
0.535 0.250 0.467
0.664 0.540 0.498
0.664 0.960 0.498
0.836 0.040 0.998
0.836 0.460 0.998
0.965 0.750 0.967
0.243 0.750 0.998
0.257 0.250 0.498
0.743 0.750 0.502
0.757 0.250 0.002
0.024 0.250 0.506
0.065 0.625 0.004
0.065 0.875 0.004
0.117 0.116 0.997
0.117 0.384 0.997
0.200 0.534 0.501
0.200 0.966 0.501
0.300 0.034 0.001
0.300 0.466 0.001
0.383 0.616 0.497
0.383 0.884 0.497
0.435 0.125 0.504
0.435 0.375 0.504
0.476 0.750 0.006
0.524 0.250 0.994
0.565 0.625 0.496
0.565 0.875 0.496
0.617 0.116 0.503
0.617 0.384 0.503
0.700 0.534 0.999
0.700 0.966 0.999
0.800 0.034 0.499
0.800 0.466 0.499
0.883 0.616 0.003
0.883 0.884 0.003
0.935 0.125 0.996
0.935 0.375 0.996
0.976 0.750 0.494
```

Values from the calculation:
The electronic total energy comes out at -8.478 eV/atom. The space-group type is Pnma. The density is 4.26 g/cm3. The value obtained for the total moment is 0.0 μB per cell.